[1]
## AuSe (PBE)

Data for crystalline AuSe at its relaxed geometry.

Structure (POSCAR):
```
AuSe
1.0
-2.0217 2.7999 5.1843
2.0217 -2.7999 5.1843
2.0217 2.7999 -5.1843
Au Se
2 2
Cartesian
0.0000 1.3999 1.6920 Au
2.0217 1.3999 3.4923 Au
2.0217 1.3999 0.2068 Se
0.0000 1.3999 4.9775 Se
```

Values from the calculation:
Electronic total energy (eV/atom): -3.314
Raw formation energy (eV per formula unit): 0.1
SG: Imma, No. 74


[2]
## AuSe (PBE)

Data for crystalline AuSe at its relaxed geometry.

Structure (POSCAR):
```
AuSe
1.0
6.2229 -1.9033 0.0000
6.2229 1.9033 0.0000
-1.5930 0.0000 8.8581
Au Se
4 4
Cartesian
-0.0337 0.0000 2.4618 Au
2.7666 0.0000 8.8115 Au
8.0862 0.0000 0.0466 Au
10.8865 0.0000 6.3962 Au
2.9884 0.0000 6.3538 Se
4.5135 0.0000 2.4137 Se
6.3393 0.0000 6.4443 Se
7.8644 0.0000 2.5043 Se
```

Values from the calculation:
Electronic total energy (eV/atom): -3.478
Raw formation energy (eV per formula unit): -0.2
SG: C2/m, No. 12


[3]
## AuSe (PBE)

Data for crystalline AuSe at its relaxed geometry.

Structure (POSCAR):
```
AuSe
1.0
-4.0588 4.0588 4.0588
4.0588 -4.0588 4.0588
4.0588 4.0588 -4.0588
Au Se
4 4
Cartesian
1.4287 1.4287 -1.4287 Au
1.4287 -1.4287 1.4287 Au
-1.4287 1.4287 1.4287 Au
2.6301 2.6301 2.6301 Au
2.8229 2.8229 -2.8229 Se
2.8229 -2.8229 2.8229 Se
1.2359 1.2359 1.2359 Se
-2.8229 2.8229 2.8229 Se
```

Values from the calculation:
Electronic total energy (eV/atom): -3.167
Raw formation energy (eV per formula unit): 0.4
SG: I-43m, No. 217


[4]
## Au3Se (PBE)

Data for crystalline Au3Se at its relaxed geometry.

Structure (POSCAR):
```
Au3Se
1.0
3.6402 0.0000 0.0000
0.0000 3.6402 0.0000
0.0000 0.0000 5.7327
Au Se
3 1
Cartesian
0.0000 0.0000 0.0000 Au
1.8201 1.8201 1.4245 Au
1.8201 1.8201 4.3081 Au
0.0000 0.0000 2.8663 Se
```

Values from the calculation:
Electronic total energy (eV/atom): -3.126
Raw formation energy (eV per formula unit): 0.8
SG: P4/mmm, No. 123